(1)
Below is crystalline CaTlI2Cl at its relaxed geometry, with properties calculated at the PBE level.

Computed properties:
Fermi-level density of states ... 0.0 states/eV/f.u.
E_form (uncorrected) ... -1.3743 eV per atom
Calculated total energy ... -3.24 eV per atom
Total moment ... 0.00 μB/cell
Space-group type ... No. 123

Unit cell a=6.221 b=6.221 c=5.258 alpha=90.00 beta=90.00 gamma=90.00
Atoms (fractional coordinates):
Ca  0.000  0.000  0.000
Tl  0.500  0.500  0.500
I  0.000  0.500  0.000
I  0.500  0.000  0.000
Cl  0.000  0.000  0.500

***

(2)
Below is crystalline Tb2P3PdRh12 at its relaxed geometry, with properties calculated at the PBE level.

Computed properties:
Fermi-level density of states ... 19.9 states/eV/f.u.
ΔH_f (0 K) ... -20 kJ per mole of atoms
Calculated total energy ... -6.81 eV per atom
Total moment ... 0.00 μB/cell
Space-group type ... No. 166

Unit cell a=6.682 b=6.682 c=6.682 alpha=82.93 beta=82.93 gamma=82.93
Atoms (fractional coordinates):
Tb  0.124  0.124  0.124
Tb  0.876  0.876  0.876
P  0.000  0.500  0.500
P  0.500  0.000  0.500
P  0.500  0.500  0.000
Pd  0.500  0.500  0.500
Rh  0.133  0.133  0.591
Rh  0.133  0.591  0.133
Rh  0.165  0.674  0.674
Rh  0.326  0.326  0.835
Rh  0.326  0.835  0.326
Rh  0.409  0.867  0.867
Rh  0.591  0.133  0.133
Rh  0.674  0.165  0.674
Rh  0.674  0.674  0.165
Rh  0.835  0.326  0.326
Rh  0.867  0.409  0.867
Rh  0.867  0.867  0.409

***

(3)
Below is crystalline Ni2SbP at its relaxed geometry, with properties calculated at the PBE level.

Computed properties:
Fermi-level density of states ... 1.7 states/eV/f.u.
E_form (uncorrected) ... -0.1906 eV per atom
Calculated total energy ... -5.46 eV per atom
Total moment ... 0.00 μB/cell
Space-group type ... No. 8

Unit cell a=4.083 b=4.083 c=5.280 alpha=96.59 beta=96.59 gamma=46.81
Atoms (fractional coordinates):
Ni  0.000  0.000  0.000
Ni  0.248  0.248  0.698
Sb  0.734  0.734  0.267
P  0.542  0.542  0.723

***

(4)
Below is crystalline DyHg6Pd12 at its relaxed geometry, with properties calculated at the PBE level.

Computed properties:
Fermi-level density of states ... 10.9 states/eV/f.u.
ΔH_f (0 K) ... -13 kJ per mole of atoms
Calculated total energy ... -3.75 eV per atom
Total moment ... 0.00 μB/cell
Space-group type ... No. 148

Unit cell a=7.222 b=7.222 c=7.222 alpha=101.63 beta=101.63 gamma=101.63
Atoms (fractional coordinates):
Dy  0.000  0.000  0.000
Hg  0.176  0.177  0.444
Hg  0.177  0.444  0.176
Hg  0.444  0.176  0.177
Hg  0.556  0.824  0.823
Hg  0.823  0.556  0.824
Hg  0.824  0.823  0.556
Pd  0.000  0.256  0.745
Pd  0.000  0.744  0.255
Pd  0.182  0.594  0.593
Pd  0.255  0.000  0.744
Pd  0.256  0.745  0.000
Pd  0.406  0.407  0.818
Pd  0.407  0.818  0.406
Pd  0.593  0.182  0.594
Pd  0.594  0.593  0.182
Pd  0.744  0.255  0.000
Pd  0.745  0.000  0.256
Pd  0.818  0.406  0.407

***

(5)
Below is crystalline AsBr2Cl5 at its relaxed geometry, with properties calculated at the PBE level.

Computed properties:
Fermi-level density of states ... 3.1 states/eV/f.u.
E_form (uncorrected) ... -0.2679 eV per atom
Calculated total energy ... -2.42 eV per atom
Total moment ... 0.30 μB/cell
Space-group type ... No. 1

Unit cell a=5.271 b=8.067 c=8.070 alpha=86.10 beta=74.39 gamma=74.14
Atoms (fractional coordinates):
As  0.000  0.000  0.000
Br  0.160  0.444  0.501
Br  0.642  0.494  0.492
Cl  0.295  0.146  0.995
Cl  0.299  0.744  0.009
Cl  0.696  0.283  0.991
Cl  0.726  0.953  0.242
Cl  0.934  0.934  0.761

***

(6)
Below is crystalline KTcNi at its relaxed geometry, with properties calculated at the PBE level.

Computed properties:
Fermi-level density of states ... 2.9 states/eV/f.u.
ΔH_f (0 K) ... 51 kJ per mole of atoms
Calculated total energy ... -5.22 eV per atom
Total moment ... 0.00 μB/cell
Space-group type ... No. 8

Unit cell a=4.521 b=4.521 c=11.138 alpha=99.75 beta=99.75 gamma=49.40
Atoms (fractional coordinates):
K  0.000  0.000  0.000
K  0.630  0.630  0.614
Tc  0.283  0.283  0.390
Tc  0.661  0.661  0.278
Ni  0.353  0.353  0.192
Ni  0.975  0.975  0.325